DFT (PBE) results for a relaxed structure of Y2P3IrRh4.

```
Y2P3IrRh4
1.0
-1.175 3.103 -2.282
1.531 -1.813 -3.253
-8.977 -4.616 -1.653
Y P Ir Rh
2 3 1 4
Direct
0.500 0.000 0.253
0.000 0.500 0.747
0.000 0.000 0.500
0.500 0.000 0.869
0.000 0.500 0.131
0.500 0.500 0.500
0.500 0.500 0.000
0.000 0.000 0.000
0.500 0.000 0.651
0.000 0.500 0.349
```

ΔE_f ... -0.869 eV/atom
SG ... P-4m2 (115)

---

DFT (PBE) results for a relaxed structure of Y3P2IrRh9.

```
Y3P2IrRh9
1.0
5.814 0.000 0.000
-2.907 5.035 0.000
0.000 0.000 9.504
Y P Ir Rh
3 2 1 9
Direct
0.333 0.667 0.600
0.000 0.000 0.000
0.667 0.333 0.400
0.333 0.667 0.157
0.667 0.333 0.843
0.000 0.000 0.500
0.846 0.154 0.715
0.846 0.693 0.715
0.307 0.154 0.715
0.693 0.846 0.285
0.154 0.307 0.285
0.154 0.846 0.285
0.500 0.000 0.000
0.000 0.500 0.000
0.500 0.500 0.000
```

ΔE_f ... -0.482 eV/atom
SG ... P-3m1 (164)

---

DFT (PBE) results for a relaxed structure of ZnPIr2Rh.

```
ZnPIr2Rh
1.0
4.530 0.000 0.000
0.000 4.530 0.000
0.000 0.000 4.493
P Zn Ir Rh
1 1 2 1
Direct
0.500 0.500 0.500
0.000 0.000 0.000
0.000 0.500 0.000
0.500 0.000 0.000
0.000 0.000 0.500
```

ΔE_f ... 1.590 eV/atom
SG ... P4/mmm (123)

---

DFT (PBE) results for a relaxed structure of PIr2Ru.

```
PIr2Ru
1.0
2.753 0.000 0.000
0.000 4.551 0.000
0.000 0.000 4.538
P Ir Ru
1 2 1
Direct
0.500 0.000 0.500
0.000 0.000 0.000
0.500 0.500 0.000
0.000 0.500 0.500
```

ΔE_f ... 0.244 eV/atom
SG ... Pmmm (47)

---

DFT (PBE) results for a relaxed structure of PIr2Ru.

```
PIr2Ru
1.0
3.949 0.000 0.000
0.000 2.857 -0.001
0.000 1.370 4.981
P Ir Ru
1 2 1
Direct
0.500 0.500 0.000
0.000 0.861 0.762
0.000 0.139 0.238
0.500 0.500 0.500
```

ΔE_f ... 0.005 eV/atom
SG ... P2/m (10)

---

DFT (PBE) results for a relaxed structure of PIr2Ru.

```
PIr2Ru
1.0
4.289 -2.916 1.138
3.372 1.261 3.904
-4.927 -1.250 -1.537
P Ir Ru
1 2 1
Direct
0.000 0.500 0.500
0.796 0.796 0.000
0.204 0.204 0.000
0.500 0.000 0.500
```

ΔE_f ... -0.050 eV/atom
SG ... Immm (71)

---

DFT (PBE) results for a relaxed structure of PIr2Ru.

```
PIr2Ru
1.0
-0.761 -4.370 -1.126
2.133 -2.484 3.197
-2.986 3.431 0.502
P Ir Ru
1 2 1
Direct
0.500 0.500 0.000
0.000 0.000 0.000
0.250 0.750 0.500
0.750 0.250 0.500
```

ΔE_f ... 0.190 eV/atom
SG ... I-4m2 (119)

---

DFT (PBE) results for a relaxed structure of PIr3Ru.

```
PIr3Ru
1.0
4.377 0.000 0.000
0.000 4.377 0.000
0.000 0.000 4.377
Ru Ir P
1 3 1
Direct
0.500 0.500 0.500
0.000 0.500 0.000
0.000 0.000 0.500
0.500 0.000 0.000
0.000 0.000 0.000
```

Polymorph energy (0 for the lowest one) ... 0 meV/atom
ΔE_f ... 0.908 eV/atom
SG ... Pm-3m (221)

---

DFT (PBE) results for a relaxed structure of PIr2Ru.

```
PIr2Ru
1.0
-2.183 -6.283 4.869
-2.595 -7.463 2.352
-0.030 -7.463 3.501
P Ir Ru
1 2 1
Direct
0.501 0.501 0.501
0.998 0.998 0.998
0.760 0.760 0.760
0.240 0.240 0.240
```

ΔE_f ... -0.067 eV/atom
SG ... R3m (160)

---

DFT (PBE) results for a relaxed structure of PIr2Ru.

```
PIr2Ru
1.0
-1.171 -0.536 -2.467
2.663 -2.420 -0.738
-3.068 -4.094 2.347
P Ir Ru
1 2 1
Direct
0.000 0.000 0.566
0.000 0.000 0.997
0.500 0.500 0.226
0.500 0.500 0.711
```

ΔE_f ... 0.142 eV/atom
SG ... Pmm2 (25)

---

DFT (PBE) results for a relaxed structure of PIr2Ru.

```
PIr2Ru
1.0
2.839 0.000 0.000
0.000 2.839 0.000
0.000 0.000 6.798
P Ir Ru
1 2 1
Direct
0.000 0.000 0.507
0.000 0.000 0.994
0.500 0.500 0.287
0.500 0.500 0.712
```

ΔE_f ... -0.010 eV/atom
SG ... P4mm (99)

---

DFT (PBE) results for a relaxed structure of PIr3Ru.

```
PIr3Ru
1.0
4.681 0.000 0.000
0.000 4.681 0.000
0.000 0.000 4.681
Ru Ir P
1 3 1
Direct
0.000 0.000 0.000
0.000 0.500 0.000
0.000 0.000 0.500
0.500 0.000 0.000
0.500 0.500 0.500
```

Polymorph energy (0 for the lowest one) ... 1166 meV/atom
ΔE_f ... 2.075 eV/atom
SG ... Pm-3m (221)